Compound: CoCu3O
Source: the Alexandria database
Functional: PBE+U
Structure: optimized geometry Values from VASP.

Summary:
As for the space group: No. 221. The total energy comes out at -3.08 eV per atom. The calculation puts the excess energy over the best structure of this formula in the dataset at 1039 meV/atom.

Quantum ESPRESSO input file:
```
&SYSTEM
  ibrav = 0, nat = 5, ntyp = 3
/
ATOMIC_SPECIES
Co 58.93 Co.upf
O 16.00 O.upf
Cu 63.55 Cu.upf
CELL_PARAMETERS angstrom
-1.428 3.870 -1.382
-1.194 -1.791 -3.781
-3.932 -0.862 1.650
ATOMIC_POSITIONS crystal
Co 0.000 0.000 0.000
O 0.500 0.500 0.500
Cu 0.000 0.500 0.000
Cu 0.000 0.000 0.500
Cu 0.500 0.000 0.000
```